# 1
A geometry-optimized Na2H10SO5 structure, computed with GGA-PBEsol.

```
Na2H10SO5
1.0
3.173 -6.235 0.000
3.173 6.235 0.000
0.000 0.000 8.518
Na H S O
4 20 2 10
Direct
0.000 0.000 0.000
0.000 0.000 0.500
0.452 0.548 0.750
0.548 0.452 0.250
0.003 0.630 0.120
0.003 0.630 0.380
0.015 0.732 0.750
0.178 0.481 0.026
0.178 0.481 0.474
0.268 0.985 0.750
0.370 0.997 0.120
0.370 0.997 0.380
0.481 0.178 0.526
0.481 0.178 0.974
0.519 0.822 0.026
0.519 0.822 0.474
0.630 0.003 0.620
0.630 0.003 0.880
0.732 0.015 0.250
0.822 0.519 0.526
0.822 0.519 0.974
0.985 0.268 0.250
0.997 0.370 0.620
0.997 0.370 0.880
0.310 0.690 0.250
0.690 0.310 0.750
0.094 0.906 0.750
0.135 0.384 0.572
0.135 0.384 0.928
0.384 0.135 0.072
0.384 0.135 0.428
0.616 0.865 0.572
0.616 0.865 0.928
0.865 0.616 0.072
0.865 0.616 0.428
0.906 0.094 0.250
```

total moment	0.00	μB/atom
calculated volume	9.361	Å³/atom
DOS(E_F)	0.00	states/eV per atom
calculated total energy	-4.77	eV/atom


# 2
A geometry-optimized NaH3SO5 structure, computed with GGA-PBEsol.

```
NaH3SO5
1.0
3.862 -3.855 0.000
3.862 3.855 0.000
-3.431 0.000 7.133
Na H S O
2 6 2 10
Direct
0.027 0.973 0.500
0.973 0.027 0.000
0.214 0.690 0.208
0.361 0.968 0.286
0.568 0.662 0.512
0.662 0.568 0.012
0.690 0.214 0.708
0.968 0.361 0.786
0.374 0.593 0.754
0.593 0.374 0.254
0.151 0.657 0.819
0.187 0.876 0.250
0.315 0.375 0.167
0.375 0.315 0.667
0.401 0.744 0.634
0.628 0.688 0.927
0.657 0.151 0.319
0.688 0.628 0.427
0.744 0.401 0.134
0.876 0.187 0.750
```

total moment	0.00	μB/atom
calculated volume	10.618	Å³/atom
DOS(E_F)	0.00	states/eV per atom
calculated total energy	-5.60	eV/atom